#a
DFT (GGA-PBE) results for crystalline HfReW3 at its relaxed geometry.

Cell lengths 4.6870, 4.6870, 4.6870 Å; angles 90.00, 90.00, 90.00 degrees
Atoms (fractional coordinates):
Hf 0.0000 0.0000 0.0000
Re 0.5000 0.5000 0.5000
W 0.0000 0.0000 0.5000
W 0.0000 0.5000 0.0000
W 0.5000 0.0000 0.0000

Fermi-level density of states   8.9 states/eV/f.u.

---

#b
DFT (GGA-PBE) results for crystalline HfReW3 at its relaxed geometry.

Cell lengths 4.7516, 4.7516, 4.7516 Å; angles 90.00, 90.00, 90.00 degrees
Atoms (fractional coordinates):
Hf 0.0000 0.0000 0.0000
Re 0.5000 0.5000 0.5000
W 0.0000 0.5000 0.5000
W 0.5000 0.0000 0.5000
W 0.5000 0.5000 0.0000

Fermi-level density of states   6.9 states/eV/f.u.

---

The structure with the greatest stability is #b.

---

#a
DFT (GGA-PBE) results for crystalline HfReW2 at its relaxed geometry.

Cell lengths 4.5445, 4.5445, 4.5445 Å; angles 60.00, 60.00, 60.00 degrees
Atoms (fractional coordinates):
Hf 0.0000 0.0000 0.0000
Re 0.5000 0.5000 0.5000
W 0.2500 0.2500 0.2500
W 0.7500 0.7500 0.7500

Fermi-level density of states   1.7 states/eV/f.u.

---

#b
DFT (GGA-PBE) results for crystalline HfReW2 at its relaxed geometry.

Cell lengths 5.9208, 5.9208, 5.9208 Å; angles 102.09, 102.09, 125.53 degrees
Atoms (fractional coordinates):
Hf 0.0000 0.0000 0.0000
Hf 0.7500 0.2500 0.5000
Re 0.2500 0.7500 0.5000
Re 0.5000 0.5000 0.0000
W 0.1605 0.1250 0.5355
W 0.3750 0.8395 0.9645
W 0.5895 0.6250 0.4645
W 0.8750 0.4105 0.0355

Fermi-level density of states   3.4 states/eV/f.u.

---

The structure with the greatest stability is #a.

---

#a
DFT (GGA-PBE) results for crystalline YHf2Re at its relaxed geometry.

Cell lengths 4.8844, 4.8844, 4.8844 Å; angles 60.00, 60.00, 60.00 degrees
Atoms (fractional coordinates):
Y 0.0000 0.0000 0.0000
Hf 0.2500 0.2500 0.2500
Hf 0.7500 0.7500 0.7500
Re 0.5000 0.5000 0.5000

Fermi-level density of states   5.7 states/eV/f.u.

---

#b
DFT (GGA-PBE) results for crystalline YHf2Re at its relaxed geometry.

Cell lengths 3.3118, 3.3118, 8.2236 Å; angles 90.00, 90.00, 90.00 degrees
Atoms (fractional coordinates):
Y 0.0000 0.0000 0.0000
Hf 0.5000 0.5000 0.3122
Hf 0.5000 0.5000 0.6878
Re 0.0000 0.0000 0.5000

Fermi-level density of states   5.3 states/eV/f.u.

---

#c
DFT (GGA-PBE) results for crystalline YHf2Re at its relaxed geometry.

Cell lengths 6.4141, 6.4141, 6.4141 Å; angles 102.61, 102.61, 124.29 degrees
Atoms (fractional coordinates):
Y 0.0000 0.0000 0.0000
Y 0.7500 0.2500 0.5000
Hf 0.1890 0.6250 0.0640
Hf 0.3750 0.4390 0.5640
Hf 0.5610 0.1250 0.9360
Hf 0.8750 0.8110 0.4360
Re 0.2500 0.7500 0.5000
Re 0.5000 0.5000 0.0000

Fermi-level density of states   6.9 states/eV/f.u.

---

The structure with the greatest stability is #b.

---

#a
DFT (GGA-PBE) results for crystalline YHfRe2 at its relaxed geometry.

Cell lengths 6.0556, 6.0556, 6.0556 Å; angles 102.57, 102.57, 124.38 degrees
Atoms (fractional coordinates):
Y 0.0000 0.0000 0.0000
Y 0.7500 0.2500 0.5000
Hf 0.2500 0.7500 0.5000
Hf 0.5000 0.5000 0.0000
Re 0.1430 0.6250 0.0180
Re 0.3750 0.3930 0.5180
Re 0.6070 0.1250 0.9820
Re 0.8750 0.8570 0.4820

Fermi-level density of states   3.7 states/eV/f.u.

---

#b
DFT (GGA-PBE) results for crystalline YHfRe2 at its relaxed geometry.

Cell lengths 4.7378, 4.7378, 4.7378 Å; angles 60.00, 60.00, 60.00 degrees
Atoms (fractional coordinates):
Y 0.0000 0.0000 0.0000
Hf 0.5000 0.5000 0.5000
Re 0.2500 0.2500 0.2500
Re 0.7500 0.7500 0.7500

Fermi-level density of states   4.6 states/eV/f.u.

---

The structure with the greatest stability is #b.

---

#a
DFT (GGA-PBE) results for crystalline YHf3Re at its relaxed geometry.

Cell lengths 5.0883, 5.0883, 5.0883 Å; angles 90.00, 90.00, 90.00 degrees
Atoms (fractional coordinates):
Y 0.0000 0.0000 0.0000
Hf 0.0000 0.5000 0.5000
Hf 0.5000 0.0000 0.5000
Hf 0.5000 0.5000 0.0000
Re 0.5000 0.5000 0.5000

Fermi-level density of states   9.6 states/eV/f.u.

---

#b
DFT (GGA-PBE) results for crystalline YHf3Re at its relaxed geometry.

Cell lengths 4.9242, 4.9242, 4.9242 Å; angles 90.00, 90.00, 90.00 degrees
Atoms (fractional coordinates):
Y 0.0000 0.0000 0.0000
Hf 0.0000 0.0000 0.5000
Hf 0.0000 0.5000 0.0000
Hf 0.5000 0.0000 0.0000
Re 0.5000 0.5000 0.5000

Fermi-level density of states   7.5 states/eV/f.u.

---

The structure with the greatest stability is #a.

---

#a
DFT (GGA-PBE) results for crystalline Y2HfRe at its relaxed geometry.

Cell lengths 5.0600, 5.0600, 5.0600 Å; angles 60.00, 60.00, 60.00 degrees
Atoms (fractional coordinates):
Y 0.2500 0.2500 0.2500
Y 0.7500 0.7500 0.7500
Hf 0.0000 0.0000 0.0000
Re 0.5000 0.5000 0.5000

Fermi-level density of states   6.5 states/eV/f.u.

---

#b
DFT (GGA-PBE) results for crystalline Y2HfRe at its relaxed geometry.

Cell lengths 6.8354, 6.8354, 6.8354 Å; angles 99.45, 99.45, 132.19 degrees
Atoms (fractional coordinates):
Y 0.0405 0.6250 0.9155
Y 0.3750 0.2905 0.4155
Y 0.7095 0.1250 0.0845
Y 0.8750 0.9595 0.5845
Hf 0.2500 0.7500 0.5000
Hf 0.5000 0.5000 0.0000
Re 0.0000 0.0000 0.0000
Re 0.7500 0.2500 0.5000

Fermi-level density of states   6.0 states/eV/f.u.

---

The structure with the greatest stability is #a.